This record from Alexandria via LeMat-Bulk describes a relaxed structure of SrCoNiP. The functional is PBE.

Structure (CIF):
```
data_SrCoNiP
_cell_length_a 3.624
_cell_length_b 3.624
_cell_length_c 11.000
_cell_angle_alpha 90.00
_cell_angle_beta 90.00
_cell_angle_gamma 90.00
_symmetry_space_group_name_H-M 'P 1'
_symmetry_Int_Tables_number 1
loop_
_symmetry_equiv_pos_as_xyz
'x,y,z'
loop_
_atom_site_label
_atom_site_type_symbol
_atom_site_fract_x
_atom_site_fract_y
_atom_site_fract_z
Sr1 Sr 0.250 0.250 0.228
Sr2 Sr 0.750 0.750 0.772
Co1 Co 0.250 0.750 0.500
Co2 Co 0.750 0.250 0.500
Ni1 Ni 0.250 0.750 0.000
Ni2 Ni 0.750 0.250 0.000
P1 P 0.250 0.250 0.615
P2 P 0.750 0.750 0.385
```

Calculated values
E_form in kcal/mol of atoms: -9.5
Total DFT energy (no corrections) in eV per atom: -5.4052

This record from Alexandria via LeMat-Bulk describes a relaxed structure of AlZnCuTc. The functional is PBE.

Structure (CIF):
```
data_AlZnCuTc
_cell_length_a 4.260
_cell_length_b 4.260
_cell_length_c 4.260
_cell_angle_alpha 60.00
_cell_angle_beta 60.00
_cell_angle_gamma 60.00
_symmetry_space_group_name_H-M 'P 1'
_symmetry_Int_Tables_number 1
loop_
_symmetry_equiv_pos_as_xyz
'x,y,z'
loop_
_atom_site_label
_atom_site_type_symbol
_atom_site_fract_x
_atom_site_fract_y
_atom_site_fract_z
Al1 Al 0.000 0.000 0.000
Zn1 Zn 0.500 0.500 0.500
Cu1 Cu 0.750 0.750 0.750
Tc1 Tc 0.250 0.250 0.250
```

Calculated values
E_form in kcal/mol of atoms: -1.6
Total DFT energy (no corrections) in eV per atom: -4.9404

This record from Alexandria via LeMat-Bulk describes a relaxed structure of YZrGaPd. The functional is PBE.

Structure (CIF):
```
data_YZrGaPd
_cell_length_a 4.899
_cell_length_b 4.899
_cell_length_c 4.899
_cell_angle_alpha 60.00
_cell_angle_beta 60.00
_cell_angle_gamma 60.00
_symmetry_space_group_name_H-M 'P 1'
_symmetry_Int_Tables_number 1
loop_
_symmetry_equiv_pos_as_xyz
'x,y,z'
loop_
_atom_site_label
_atom_site_type_symbol
_atom_site_fract_x
_atom_site_fract_y
_atom_site_fract_z
Y1 Y 0.000 0.000 0.000
Zr1 Zr 0.500 0.500 0.500
Ga1 Ga 0.250 0.250 0.250
Pd1 Pd 0.750 0.750 0.750
```

Calculated values
E_form in kcal/mol of atoms: -12.6
Total DFT energy (no corrections) in eV per atom: -6.3538

This record from Alexandria via LeMat-Bulk describes a relaxed structure of MnVFe2H. The functional is PBE.

Structure (CIF):
```
data_MnVFe2H
_cell_length_a 3.556
_cell_length_b 3.556
_cell_length_c 3.741
_cell_angle_alpha 90.00
_cell_angle_beta 90.00
_cell_angle_gamma 90.00
_symmetry_space_group_name_H-M 'P 1'
_symmetry_Int_Tables_number 1
loop_
_symmetry_equiv_pos_as_xyz
'x,y,z'
loop_
_atom_site_label
_atom_site_type_symbol
_atom_site_fract_x
_atom_site_fract_y
_atom_site_fract_z
Mn1 Mn 0.000 0.000 0.000
V1 V 0.500 0.500 0.000
Fe1 Fe 0.000 0.500 0.500
Fe2 Fe 0.500 0.000 0.500
H1 H 0.500 0.500 0.500
```

Calculated values
Total DFT energy (no corrections) in eV per atom: -7.7320
Relative energy among the computed polymorphs in eV/f.u.: 0.124

This record from Alexandria via LeMat-Bulk describes a relaxed structure of ScOs2Br. The functional is PBE.

Structure (CIF):
```
data_ScOs2Br
_cell_length_a 2.971
_cell_length_b 4.673
_cell_length_c 4.751
_cell_angle_alpha 90.00
_cell_angle_beta 90.00
_cell_angle_gamma 90.00
_symmetry_space_group_name_H-M 'P 1'
_symmetry_Int_Tables_number 1
loop_
_symmetry_equiv_pos_as_xyz
'x,y,z'
loop_
_atom_site_label
_atom_site_type_symbol
_atom_site_fract_x
_atom_site_fract_y
_atom_site_fract_z
Sc1 Sc 0.000 0.000 0.000
Os1 Os 0.000 0.500 0.500
Os2 Os 0.500 0.000 0.500
Br1 Br 0.500 0.500 0.000
```

Calculated values
Total DFT energy (no corrections) in eV per atom: -7.1598
Relative energy among the computed polymorphs in eV/f.u.: 1.987

This record from Alexandria via LeMat-Bulk describes a relaxed structure of K2OsRh. The functional is PBE.

Structure (CIF):
```
data_K2OsRh
_cell_length_a 5.006
_cell_length_b 5.006
_cell_length_c 5.006
_cell_angle_alpha 60.00
_cell_angle_beta 60.00
_cell_angle_gamma 60.00
_symmetry_space_group_name_H-M 'P 1'
_symmetry_Int_Tables_number 1
loop_
_symmetry_equiv_pos_as_xyz
'x,y,z'
loop_
_atom_site_label
_atom_site_type_symbol
_atom_site_fract_x
_atom_site_fract_y
_atom_site_fract_z
K1 K 0.000 0.000 0.000
K2 K 0.250 0.250 0.250
Os1 Os 0.750 0.750 0.750
Rh1 Rh 0.500 0.500 0.500
```

Calculated values
E_form in kcal/mol of atoms: 32.7
Total DFT energy (no corrections) in eV per atom: -3.7758
Relative energy among the computed polymorphs in eV/f.u.: 3.343

| no. | DOS(E_F) (states/eV/atom) |
| --- | --- |
| 1 | 1.308 |
| 2 | 0.450 |
| 3 | 1.110 |
| 4 | 0.899 |
| 5 | 1.037 |
| 6 | 0.843 |